A PBEsol-optimized structure of Sc2BrNCl, computed with meta-GGA SCAN.

Cell lengths 4.3972, 4.3972, 4.7883 Å; angles 90.00, 90.00, 90.00 degrees
Closest atoms and distances in Å follow each position.
Space group P4/mmm (No. 123)
Asymmetric unit:
Sc1 0.0000 0.5000 0.0000  2 N 2.20
Br1 0.0000 0.0000 0.5000  4 Cl 3.11, 8 Sc 3.25
N1 0.5000 0.5000 0.0000  4 Sc 2.20, 2 Cl 2.39
Cl1 0.5000 0.5000 0.5000  2 N 2.39

The value obtained for the total energy is -69.0 eV for the cell shown. For the density of states at the Fermi level, the calculation gives 0.52 states/eV/atom. The calculation puts the uncorrected formation energy at -760.7 meV/atom.



A PBEsol-optimized structure of Sr4BrN2Cl, computed with meta-GGA SCAN.

Cell lengths 3.8741, 3.8741, 42.7469 Å; angles 90.00, 90.00, 120.00 degrees
Closest atoms and distances in Å follow each position.
Space group R-3m (No. 166, hexagonal axes)
Asymmetric unit:
Sr1 0.0000 0.0000 0.1125  3 N 2.60
Sr2 0.0000 0.0000 0.3835  3 N 2.60
Br1 0.0000 0.0000 0.5000  6 Sr 3.22
N1 0.0000 0.0000 0.2520  6 Sr 2.60
Cl1 0.0000 0.0000 0.0000  6 Sr 3.10

The value obtained for the total energy is -443.5 eV for the cell shown. For the density of states at the Fermi level, the calculation gives 0.00 states/eV/atom. The calculation puts the uncorrected formation energy at -1589.6 meV/atom. The energy relative to the lowest polymorph listed for this composition is 0.0000 eV per atom.